[1]
TbSm5HoTm2 | PBE | optimized geometry

Total DFT energy (no corrections): -4.487 eV per atom
ΔE_f: 151 meV per atom
V: 33.345 A^3/atom

a = 5.607 Å, b = 20.141 Å, c = 10.629 Å
α = 90.00°, β = 90.00°, γ = 90.00°
Space group Cmc2_1 (No. 36)
One atom of each set of equivalent atoms:
Tb1 0.000 0.199 0.000 [4 per cell]
Sm1 0.000 0.017 0.010 [4 per cell]
Sm2 0.000 0.281 0.300 [4 per cell]
Sm3 0.000 0.299 0.696 [4 per cell]
Sm4 0.000 0.388 0.012 [4 per cell]
Sm5 0.000 0.481 0.731 [4 per cell]
Ho1 0.000 0.411 0.448 [4 per cell]
Tm1 0.000 0.111 0.728 [4 per cell]
Tm2 0.000 0.115 0.303 [4 per cell]



[2]
Tb2Sm6HoTm3 | PBE | optimized geometry

Total DFT energy (no corrections): -4.615 eV per atom
ΔE_f: 16 meV per atom
V: 32.109 A^3/atom

a = 6.199 Å, b = 10.733 Å, c = 11.762 Å
α = 90.00°, β = 100.08°, γ = 90.00°
Space group C2/m (No. 12)
One atom of each set of equivalent atoms:
Tb1 0.000 0.167 0.000 [4 per cell]
Sm1 0.249 0.167 0.748 [8 per cell]
Sm2 0.249 0.500 0.748 [4 per cell]
Ho1 0.000 0.500 0.000 [2 per cell]
Tm1 0.000 0.000 0.500 [2 per cell]
Tm2 0.000 0.333 0.500 [4 per cell]



[3]
Tb2SmHoTm2 | PBE | optimized geometry

Total DFT energy (no corrections): -4.474 eV per atom
ΔE_f: 109 meV per atom
V: 31.976 A^3/atom

a = 6.052 Å, b = 18.074 Å, c = 3.508 Å
α = 90.00°, β = 90.00°, γ = 90.00°
Space group Pnnm (No. 58)
One atom of each set of equivalent atoms:
Tb1 0.166 0.157 0.000 [4 per cell]
Sm1 0.000 0.500 0.500 [2 per cell]
Ho1 0.000 0.000 0.500 [2 per cell]
Tm1 0.166 0.343 0.000 [4 per cell]



[4]
TbSm4HoTm2 | PBE | optimized geometry

Total DFT energy (no corrections): -4.611 eV per atom
ΔE_f: 18 meV per atom
V: 32.150 A^3/atom

a = 5.056 Å, b = 5.072 Å, c = 10.030 Å
α = 90.00°, β = 90.00°, γ = 90.00°
Space group Pmmm (No. 47)
One atom of each set of equivalent atoms:
Tb1 0.000 0.000 0.000 [1 per cell]
Sm1 0.000 0.500 0.250 [2 per cell]
Sm2 0.500 0.000 0.251 [2 per cell]
Ho1 0.500 0.500 0.500 [1 per cell]
Tm1 0.000 0.000 0.500 [1 per cell]
Tm2 0.500 0.500 0.000 [1 per cell]



[5]
TbSm2Ho2Tm2 | PBE | optimized geometry

Total DFT energy (no corrections): -4.508 eV per atom
ΔE_f: 88 meV per atom
V: 32.197 A^3/atom

a = 11.622 Å, b = 3.501 Å, c = 11.741 Å
α = 90.00°, β = 109.34°, γ = 90.00°
Space group C2/m (No. 12)
One atom of each set of equivalent atoms:
Tb1 0.000 0.000 0.000 [2 per cell]
Sm1 0.170 0.500 0.584 [4 per cell]
Ho1 0.051 0.500 0.270 [4 per cell]
Tm1 0.225 0.000 0.863 [4 per cell]



[6]
TbSmHoTm2 | PBE | optimized geometry

Total DFT energy (no corrections): -4.182 eV per atom
ΔE_f: 392 meV per atom
V: 33.923 A^3/atom

a = 8.328 Å, b = 11.378 Å, c = 7.160 Å
α = 90.00°, β = 90.00°, γ = 90.00°
Space group Cmcm (No. 63)
One atom of each set of equivalent atoms:
Tb1 0.000 0.000 0.250 [4 per cell]
Sm1 0.000 0.274 0.250 [4 per cell]
Ho1 0.000 0.279 0.750 [4 per cell]
Tm1 0.189 0.500 0.000 [8 per cell]



[7]
Tb6Sm2HoTm | PBE | optimized geometry

Total DFT energy (no corrections): -4.511 eV per atom
ΔE_f: 116 meV per atom
V: 32.410 A^3/atom

a = 9.029 Å, b = 15.060 Å, c = 9.639 Å
α = 90.00°, β = 98.46°, γ = 90.00°
Space group C2/c (No. 15)
One atom of each set of equivalent atoms:
Tb1 0.063 0.188 0.444 [8 per cell]
Tb2 0.103 0.394 0.620 [8 per cell]
Tb3 0.204 0.223 0.813 [8 per cell]
Sm1 0.248 0.052 0.043 [8 per cell]
Ho1 0.000 0.020 0.750 [4 per cell]
Tm1 0.000 0.408 0.250 [4 per cell]



[8]
Tb2SmHo2Tm | PBE | optimized geometry

Total DFT energy (no corrections): -4.495 eV per atom
ΔE_f: 106 meV per atom
V: 32.131 A^3/atom

a = 6.050 Å, b = 18.131 Å, c = 3.515 Å
α = 90.00°, β = 90.00°, γ = 90.00°
Space group Pnnm (No. 58)
One atom of each set of equivalent atoms:
Tb1 0.165 0.156 0.000 [4 per cell]
Sm1 0.000 0.500 0.500 [2 per cell]
Ho1 0.165 0.343 0.000 [4 per cell]
Tm1 0.000 0.000 0.500 [2 per cell]